Entry 1:
! PBE LiYAgPt, relaxed; values from VASP
&SYSTEM
  ibrav = 0, nat = 4, ntyp = 4
/
ATOMIC_SPECIES
Y 88.91 Y.upf
Ag 107.87 Ag.upf
Pt 195.08 Pt.upf
Li 6.94 Li.upf
CELL_PARAMETERS angstrom
-4.534 1.553 0.164
-3.010 -1.004 -3.596
-3.580 -3.120 0.669
ATOMIC_POSITIONS angstrom
Y -5.562 -1.285 -1.381
Ag -2.781 -0.643 -0.691
Pt -8.343 -1.928 -2.072
Li 0.000 0.000 0.000
! Calculated formation energy (eV/atom): -0.5899
! SG: F-43m, No. 216
! Total energy (eV per atom): -4.907
! Calculated volume (A^3/atom): 19.50

---

Entry 2:
! PBE CoHgSb2, relaxed; values from VASP
&SYSTEM
  ibrav = 0, nat = 4, ntyp = 3
/
ATOMIC_SPECIES
Co 58.93 Co.upf
Hg 200.59 Hg.upf
Sb 121.76 Sb.upf
CELL_PARAMETERS angstrom
-1.020 -4.137 -3.942
1.484 -5.459 1.299
-2.931 4.344 2.497
ATOMIC_POSITIONS angstrom
Co 0.232 -4.798 -1.321
Hg -1.860 -2.295 -1.383
Sb 0.000 0.000 0.000
Sb -0.607 -2.957 1.237
! SG: I-4m2, No. 119
! Total energy (eV per atom): -3.368
! Calculated volume (A^3/atom): 22.10
! Formation energy from raw total energies (eV/atom): 0.545